## Ce3AlTc2 (PBE)

Data for Ce3AlTc2 after structural relaxation.

a b c (Å): 8.503 3.172 9.826
angles (deg): 90.00 97.03 90.00
Fractional positions:
Ce (0.111, 0.250, 0.362)
Ce (0.151, 0.750, 0.981)
Ce (0.287, 0.250, 0.632)
Ce (0.713, 0.750, 0.368)
Ce (0.849, 0.250, 0.019)
Ce (0.889, 0.750, 0.638)
Al (0.405, 0.250, 0.184)
Al (0.595, 0.750, 0.816)
Tc (0.395, 0.250, 0.916)
Tc (0.420, 0.750, 0.395)
Tc (0.580, 0.250, 0.605)
Tc (0.605, 0.750, 0.084)

Size of the total moment: 0.64 μB per cell
Excess energy over the best structure of this formula in the dataset: 0.189 eV per atom
DFT formation energy: -46.8 meV/atom
D(E_F): 10.1 states/eV/f.u.
V: 263.01 Å³ per cell

=====

## CeAl2Tc (PBE)

Data for CeAl2Tc after structural relaxation.

a b c (Å): 3.176 3.176 7.291
angles (deg): 90.00 90.00 90.00
Fractional positions:
Ce (0.000, 0.000, 0.000)
Al (0.500, 0.500, 0.316)
Al (0.500, 0.500, 0.684)
Tc (0.000, 0.000, 0.500)

Size of the total moment: 0.29 μB per cell
Excess energy over the best structure of this formula in the dataset: 0.146 eV per atom
DFT formation energy: -348.2 meV/atom
D(E_F): 4.5 states/eV/f.u.
V: 73.54 Å³ per cell

=====

## CeAl2Tc (PBE)

Data for CeAl2Tc after structural relaxation.

a b c (Å): 4.638 6.816 5.124
angles (deg): 90.00 109.39 90.00
Fractional positions:
Ce (0.033, 0.250, 0.126)
Ce (0.967, 0.750, 0.874)
Al (0.397, 0.054, 0.711)
Al (0.397, 0.446, 0.711)
Al (0.603, 0.554, 0.289)
Al (0.603, 0.946, 0.289)
Tc (0.134, 0.750, 0.375)
Tc (0.866, 0.250, 0.625)

Size of the total moment: 0.00 μB per cell
Excess energy over the best structure of this formula in the dataset: 0.000 eV per atom
DFT formation energy: -494.3 meV/atom
D(E_F): 2.3 states/eV/f.u.
V: 152.77 Å³ per cell

=====

## Ce3AlTc (PBE)

Data for Ce3AlTc after structural relaxation.

a b c (Å): 9.133 6.050 10.302
angles (deg): 90.00 122.28 90.00
Fractional positions:
Ce (0.036, 0.035, 0.305)
Ce (0.036, 0.465, 0.805)
Ce (0.319, 0.176, 0.698)
Ce (0.319, 0.324, 0.198)
Ce (0.376, 0.688, 0.925)
Ce (0.376, 0.812, 0.425)
Ce (0.624, 0.188, 0.575)
Ce (0.624, 0.312, 0.075)
Ce (0.681, 0.676, 0.802)
Ce (0.681, 0.824, 0.302)
Ce (0.964, 0.535, 0.195)
Ce (0.964, 0.965, 0.695)
Al (0.137, 0.662, 0.559)
Al (0.137, 0.838, 0.059)
Al (0.863, 0.162, 0.941)
Al (0.863, 0.338, 0.441)
Tc (0.283, 0.139, 0.965)
Tc (0.283, 0.361, 0.465)
Tc (0.717, 0.639, 0.535)
Tc (0.717, 0.861, 0.035)

Size of the total moment: 3.52 μB per cell
Excess energy over the best structure of this formula in the dataset: 0.016 eV per atom
DFT formation energy: -142.5 meV/atom
D(E_F): 10.6 states/eV/f.u.
V: 481.23 Å³ per cell

=====

## Ce2Al3Tc (PBE)

Data for Ce2Al3Tc after structural relaxation.

a b c (Å): 5.546 5.546 5.546
angles (deg): 59.03 59.03 59.03
Fractional positions:
Ce (0.129, 0.129, 0.129)
Ce (0.871, 0.871, 0.871)
Al (0.000, 0.500, 0.500)
Al (0.500, 0.000, 0.500)
Al (0.500, 0.500, 0.000)
Tc (0.500, 0.500, 0.500)

Size of the total moment: 0.00 μB per cell
Excess energy over the best structure of this formula in the dataset: 0.035 eV per atom
DFT formation energy: -419.1 meV/atom
D(E_F): 7.8 states/eV/f.u.
V: 117.92 Å³ per cell

=====

## Ce6Al3Tc (PBE)

Data for Ce6Al3Tc after structural relaxation.

a b c (Å): 8.010 8.010 8.010
angles (deg): 81.03 81.03 81.03
Fractional positions:
Ce (0.065, 0.692, 0.758)
Ce (0.167, 0.461, 0.524)
Ce (0.242, 0.935, 0.308)
Ce (0.308, 0.242, 0.935)
Ce (0.461, 0.524, 0.167)
Ce (0.476, 0.833, 0.539)
Ce (0.524, 0.167, 0.461)
Ce (0.539, 0.476, 0.833)
Ce (0.692, 0.758, 0.065)
Ce (0.758, 0.065, 0.692)
Ce (0.833, 0.539, 0.476)
Ce (0.935, 0.308, 0.242)
Al (0.071, 0.674, 0.150)
Al (0.150, 0.071, 0.674)
Al (0.326, 0.850, 0.929)
Al (0.674, 0.150, 0.071)
Al (0.850, 0.929, 0.326)
Al (0.929, 0.326, 0.850)
Tc (0.000, 0.000, 0.000)
Tc (0.500, 0.500, 0.500)

Size of the total moment: 2.62 μB per cell
DFT formation energy: -108.3 meV/atom
D(E_F): 21.0 states/eV/f.u.
V: 496.75 Å³ per cell

=====

## CeAl3Tc (PBE)

Data for CeAl3Tc after structural relaxation.

a b c (Å): 4.741 4.741 4.741
angles (deg): 90.00 90.00 90.00
Fractional positions:
Ce (0.000, 0.000, 0.000)
Al (0.000, 0.500, 0.500)
Al (0.500, 0.000, 0.500)
Al (0.500, 0.500, 0.000)
Tc (0.500, 0.500, 0.500)

Size of the total moment: 1.02 μB per cell
DFT formation energy: -290.9 meV/atom
D(E_F): 8.9 states/eV/f.u.
V: 106.58 Å³ per cell

=====

## Ce8Al2Tc (PBE)

Data for Ce8Al2Tc after structural relaxation.

a b c (Å): 8.810 8.810 6.696
angles (deg): 110.00 110.00 33.83
Fractional positions:
Ce (0.004, 0.004, 0.299)
Ce (0.194, 0.194, 0.165)
Ce (0.353, 0.353, 0.109)
Ce (0.394, 0.394, 0.602)
Ce (0.606, 0.606, 0.398)
Ce (0.647, 0.647, 0.891)
Ce (0.806, 0.806, 0.835)
Ce (0.996, 0.996, 0.701)
Al (0.192, 0.192, 0.666)
Al (0.808, 0.808, 0.334)
Tc (0.500, 0.500, 0.000)

Size of the total moment: 1.75 μB per cell
DFT formation energy: -138.0 meV/atom
D(E_F): 27.8 states/eV/f.u.
V: 270.27 Å³ per cell